GGA-PBEsol Ta3RhCl, relaxed; SG = Pm-3m, No. 221; calculated volume = 17.3 A^3/atom; formation energy (no corrections) = 0.842 eV per atom
1.0
-0.0635 4.2622 1.1918
-2.3333 0.9806 -3.6311
-3.7606 -0.6803 2.2328
Cl Rh Ta
1 1 3
Direct
0.0000 0.0000 0.0000
0.5000 0.5000 0.5000
0.0000 0.5000 0.0000
0.0000 0.0000 0.5000
0.5000 0.0000 0.0000

***

GGA-PBEsol TaRhCl3, relaxed; SG = Pm-3m, No. 221; calculated volume = 21.2 A^3/atom; formation energy (no corrections) = 0.391 eV per atom
1.0
-3.5860 2.2850 -2.0737
-3.0228 -3.2401 1.6570
-0.6199 2.5810 3.9160
Cl Rh Ta
3 1 1
Direct
0.0000 0.5000 0.0000
0.0000 0.0000 0.5000
0.5000 0.0000 0.0000
0.5000 0.5000 0.5000
0.0000 0.0000 0.0000

***

GGA-PBEsol TaRhCl, relaxed; polymorph energy (0 for the lowest one) = 0.000 eV per atom; SG = P-6m2, No. 187; calculated volume = 15.2 A^3/atom; formation energy (no corrections) = -0.051 eV per atom
1.0
-0.0641 0.2899 -2.9181
-1.6250 -3.8912 -0.3509
-2.5700 3.3390 0.3882
Cl Rh Ta
1 1 1
Direct
0.5000 0.0000 0.0000
0.0000 0.6667 0.3333
0.5000 0.3333 0.6667

***

GGA-PBEsol TcRhCl3, relaxed; polymorph energy (0 for the lowest one) = 0.063 eV per atom; SG = Pm-3m, No. 221; calculated volume = 20.7 A^3/atom; formation energy (no corrections) = 0.664 eV per atom
1.0
-0.2477 4.6831 0.1923
-3.7256 -0.3136 2.8376
2.8441 -0.0029 3.7338
Rh Tc Cl
1 1 3
Direct
0.5000 0.5000 0.5000
0.0000 0.0000 0.0000
0.0000 0.5000 0.0000
0.0000 0.0000 0.5000
0.5000 0.0000 0.0000

***

GGA-PBEsol TcRhCl3, relaxed; polymorph energy (0 for the lowest one) = 0.000 eV per atom; SG = Pm-3m, No. 221; calculated volume = 20.6 A^3/atom; formation energy (no corrections) = 0.601 eV per atom
1.0
-0.1931 -0.6555 4.6361
-0.9199 -4.5442 -0.6808
4.5909 -0.9382 0.0586
Rh Tc Cl
1 1 3
Direct
0.0000 0.0000 0.0000
0.5000 0.5000 0.5000
0.0000 0.5000 0.0000
0.0000 0.0000 0.5000
0.5000 0.0000 0.0000

***

GGA-PBEsol Te6RhCl3, relaxed; SG = R-3c, No. 167; calculated volume = 28.5 A^3/atom; formation energy (no corrections) = -0.388 eV per atom
1.0
8.8492 0.0151 0.0240
-2.6671 8.4377 0.0240
-2.6671 -3.6468 7.6090
Te Rh Cl
12 2 6
Direct
0.8063 0.0811 0.8251
0.0811 0.8251 0.8063
0.8251 0.8063 0.0811
0.6749 0.4189 0.6937
0.6937 0.6749 0.4189
0.4189 0.6937 0.6749
0.1937 0.9189 0.1749
0.9189 0.1749 0.1937
0.1749 0.1937 0.9189
0.3251 0.5811 0.3063
0.3063 0.3251 0.5811
0.5811 0.3063 0.3251
0.7500 0.7500 0.7500
0.2500 0.2500 0.2500
0.0183 0.4817 0.7500
0.7500 0.0183 0.4817
0.4817 0.7500 0.0183
0.9817 0.5183 0.2500
0.2500 0.9817 0.5183
0.5183 0.2500 0.9817

***

GGA-PBEsol TeRhCl, relaxed; SG = C2/m, No. 12; calculated volume = 22.5 A^3/atom; formation energy (no corrections) = -0.509 eV per atom
1.0
3.6619 0.0000 0.0000
0.0000 6.6596 0.0163
-1.8309 -3.0991 5.5168
Te Rh Cl
2 2 2
Direct
0.1317 0.4652 0.2634
0.8683 0.5348 0.7366
0.7489 0.7550 0.4978
0.2511 0.2450 0.5022
0.6321 0.9658 0.2643
0.3679 0.0342 0.7357

***

GGA-PBEsol TeRhCl, relaxed; SG = P3m1, No. 156; calculated volume = 22.7 A^3/atom; formation energy (no corrections) = -0.497 eV per atom
1.0
3.6660 0.0000 0.0000
-1.8330 3.1749 0.0000
0.0000 0.0000 5.8484
Te Rh Cl
1 1 1
Direct
0.6667 0.3333 0.4262
0.3333 0.6667 0.6664
0.0000 0.0000 0.9074

***

GGA-PBEsol Te2RhCl, relaxed; SG = Imm2, No. 44; calculated volume = 23.6 A^3/atom; formation energy (no corrections) = -0.167 eV per atom
1.0
-0.5072 1.9079 2.8977
-4.7211 -0.2518 -0.6605
2.4354 -5.5496 1.9590
Te Rh Cl
2 1 1
Direct
0.0873 0.0873 0.1746
0.2396 0.7396 0.4791
0.7497 0.2497 0.4994
0.4234 0.4234 0.8469

***

GGA-PBEsol TeRh2Cl, relaxed; SG = Amm2, No. 38; calculated volume = 19.2 A^3/atom; formation energy (no corrections) = -0.100 eV per atom
1.0
-0.1539 -1.9728 -2.3178
3.4720 0.5446 -0.6940
1.7680 -4.2595 5.5023
Te Rh Cl
1 2 1
Direct
0.0190 0.0000 0.4145
0.8286 0.0000 0.0319
0.4277 0.5000 0.2310
0.7247 0.5000 0.8227

***

GGA-PBEsol TeRhWCl2, relaxed; SG = P4/mmm, No. 123; calculated volume = 20.7 A^3/atom; formation energy (no corrections) = 0.470 eV per atom
1.0
4.4806 0.0000 0.0000
0.0000 4.4806 0.0000
0.0000 0.0000 5.1561
Te Rh W Cl
1 1 1 2
Direct
0.5000 0.5000 0.5000
0.0000 0.0000 0.5000
0.0000 0.0000 0.0000
0.0000 0.5000 0.0000
0.5000 0.0000 0.0000

***

GGA-PBEsol Rh2WCl, relaxed; SG = R3m, No. 160; calculated volume = 14.4 A^3/atom; formation energy (no corrections) = 0.204 eV per atom
1.0
2.8115 0.0000 0.0000
1.4057 2.4348 0.0000
1.4057 0.8116 8.3918
Cl Rh W
1 2 1
Direct
0.2459 0.2459 0.2623
0.9991 0.9991 0.0027
0.7523 0.7523 0.7431
0.5027 0.5027 0.4919

***

Repeat the fourth record exactly.
GGA-PBEsol TcRhCl3, relaxed; polymorph energy (0 for the lowest one) = 0.063 eV per atom; SG = Pm-3m, No. 221; calculated volume = 20.7 A^3/atom; formation energy (no corrections) = 0.664 eV per atom
1.0
-0.2477 4.6831 0.1923
-3.7256 -0.3136 2.8376
2.8441 -0.0029 3.7338
Rh Tc Cl
1 1 3
Direct
0.5000 0.5000 0.5000
0.0000 0.0000 0.0000
0.0000 0.5000 0.0000
0.0000 0.0000 0.5000
0.5000 0.0000 0.0000